Computed, not measured: an optimized crystal structure of SrVHgRu2 at the PBE-GGA level of DFT. Values from VASP.

Properties
calculated formation energy	1.8052	eV per atom
SG	P4/mmm

```
&SYSTEM
  ibrav = 0, nat = 5, ntyp = 4
/
ATOMIC_SPECIES
Sr 87.62 Sr.upf
V 50.94 V.upf
Hg 200.59 Hg.upf
Ru 101.07 Ru.upf
ATOMIC_POSITIONS crystal
Sr 0.000 0.000 0.000
V 0.500 0.500 0.000
Hg 0.000 0.000 0.500
Ru 0.000 0.500 0.500
Ru 0.500 0.000 0.500
CELL_PARAMETERS angstrom
5.067 0.000 0.000
0.000 5.067 0.000
0.000 0.000 5.500
```